[1]
Below is an optimized crystal structure of Na3Ac3SbSe8, with properties calculated at the PBE level.

a b c (Å): 8.705 8.705 8.705
angles (deg): 61.31 61.31 61.31
Positions (direct):
1 Na 0.000 0.500 0.500
2 Na 0.500 0.000 0.500
3 Na 0.500 0.500 0.000
4 Ac 0.000 0.000 0.500
5 Ac 0.000 0.500 0.000
6 Ac 0.500 0.000 0.000
7 Sb 0.500 0.500 0.500
8 Se 0.248 0.248 0.248
9 Se 0.272 0.272 0.726
10 Se 0.272 0.726 0.272
11 Se 0.274 0.728 0.728
12 Se 0.726 0.272 0.272
13 Se 0.728 0.274 0.728
14 Se 0.728 0.728 0.274
15 Se 0.752 0.752 0.752

Properties
E_form (uncorrected): -1.3883 eV per atom
SG: R-3m

***

[2]
Below is an optimized crystal structure of NaAcSnSb, with properties calculated at the PBE level.

a b c (Å): 5.622 5.622 5.622
angles (deg): 60.00 60.00 60.00
Positions (direct):
1 Na 0.000 0.000 0.000
2 Ac 0.500 0.500 0.500
3 Sn 0.750 0.750 0.750
4 Sb 0.250 0.250 0.250

Properties
E_form (uncorrected): -0.4481 eV per atom
SG: F-43m

***

- Which value of E_form (uncorrected) does entry 1 give?
  -1.3883 eV per atom

***

- Among the records above, which one has the lowest E_form (uncorrected)?
  Na3Ac3SbSe8